The following is a PBE-GGA calculation of NpCuNi after structural relaxation, from Alexandria via LeMat-Bulk.

E_tot (eV/cell): -44.63
Calculated volume (Å³/cell): 94
Magnetic moment (Bohr magnetons per cell): 7.146
SG: No. 69
Energy of formation from the pure elements (kcal/mol of atoms): 3.87

Geometry as CIF:
```
data_NpCuNi
_symmetry_space_group_name_H-M 'P 1'
_symmetry_Int_Tables_number 1
_symmetry_space_group_name_Hall 'P 1'
_cell_length_a 4.7795
_cell_length_b 4.5615
_cell_length_c 5.5774
_cell_angle_alpha 77.03
_cell_angle_beta 64.63
_cell_angle_gamma 58.41
loop_
_atom_site_label
_atom_site_type_symbol
_atom_site_fract_x
_atom_site_fract_y
_atom_site_fract_z
Np1 Np 0.8338 0.3325 0.0000
Np2 Np 0.1662 0.6675 0.0000
Ni1 Ni 0.6300 0.0000 0.7399
Ni2 Ni 0.3700 0.0000 0.2601
Cu1 Cu 0.7500 0.5000 0.5000
Cu2 Cu 0.2500 0.5000 0.5000
```

The following is a PBE-GGA calculation of Np3CuNi8 after structural relaxation, from Alexandria via LeMat-Bulk.

E_tot (eV/cell): -90.70
Calculated volume (Å³/cell): 168
Magnetic moment (Bohr magnetons per cell): 10.162
SG: No. 160
Energy of formation from the pure elements (kcal/mol of atoms): -2.94

Geometry as CIF:
```
data_Np3CuNi8
_symmetry_space_group_name_H-M 'P 1'
_symmetry_Int_Tables_number 1
_symmetry_space_group_name_Hall 'P 1'
_cell_length_a 4.9182
_cell_length_b 4.9182
_cell_length_c 8.5197
_cell_angle_alpha 73.22
_cell_angle_beta 73.22
_cell_angle_gamma 60.00
loop_
_atom_site_label
_atom_site_type_symbol
_atom_site_fract_x
_atom_site_fract_y
_atom_site_fract_z
Ni1 Ni 0.1879 0.1879 0.4364
Ni2 Ni 0.9383 0.4422 0.6811
Ni3 Ni 0.9383 0.9383 0.6811
Ni4 Ni 0.9350 0.4357 0.1936
Ni5 Ni 0.4357 0.9350 0.1936
Ni6 Ni 0.4357 0.4357 0.1936
Ni7 Ni 0.4422 0.9383 0.6811
Ni8 Ni 0.6874 0.6874 0.9379
Np1 Np 0.5019 0.5019 0.4942
Np2 Np 0.9974 0.9974 0.0077
Np3 Np 0.3765 0.3765 0.8705
Cu1 Cu 0.8736 0.8736 0.3792
```

The following is a PBE-GGA calculation of NpCu4Ni after structural relaxation, from Alexandria via LeMat-Bulk.

E_tot (eV/cell): -34.36
Calculated volume (Å³/cell): 86
Magnetic moment (Bohr magnetons per cell): 3.684
SG: No. 216
Energy of formation from the pure elements (kcal/mol of atoms): 2.86

Geometry as CIF:
```
data_NpCu4Ni
_symmetry_space_group_name_H-M 'P 1'
_symmetry_Int_Tables_number 1
_symmetry_space_group_name_Hall 'P 1'
_cell_length_a 4.9516
_cell_length_b 4.9516
_cell_length_c 4.9516
_cell_angle_alpha 60.00
_cell_angle_beta 60.00
_cell_angle_gamma 60.00
loop_
_atom_site_label
_atom_site_type_symbol
_atom_site_fract_x
_atom_site_fract_y
_atom_site_fract_z
Np1 Np 0.2500 0.2500 0.2500
Cu1 Cu 0.1213 0.6262 0.6262
Cu2 Cu 0.6262 0.6262 0.6262
Cu3 Cu 0.6262 0.1213 0.6262
Cu4 Cu 0.6262 0.6262 0.1213
Ni1 Ni 0.0000 0.0000 0.0000
```